Entry from Alexandria: a relaxed structure of Ce4Th2Sb3N2 (GGA-PBE).

Calculated values
The formation energy from raw total energies comes out at -1120 kJ/mol of formula units. The space group is No. 139. The calculation puts the total magnetization at 3.45 μB per cell.

a = 4.669 Å, b = 4.669 Å, c = 13.670 Å
α = 99.83°, β = 99.83°, γ = 90.00°
Each line ends with the local moment (μB).
Sites, in units of the cell vectors:
Ce: 0.584 0.084 0.168  0.71
Ce: 0.084 0.584 0.168  0.71
Ce: 0.916 0.416 0.832  0.71
Th: 0.696 0.696 0.393  0.04
N: 0.391 0.391 0.783  -0.03
Sb: 0.823 0.823 0.645  -0.01
N: 0.609 0.609 0.217  -0.03
Sb: 0.000 0.000 0.000  -0.02
Th: 0.304 0.304 0.607  0.04
Sb: 0.177 0.177 0.355  -0.01
Ce: 0.416 0.916 0.832  0.71